First-principles (PBE-GGA) data for TlS2Cl2 after structural relaxation, as listed in Alexandria via LeMat-Bulk.

Lattice parameters (Å, degrees): 8.193 8.193 4.300 90.00 90.00 90.00
Fractional coordinates of all 10 atoms:
1 Tl 0.000 0.000 0.000
2 Tl 0.500 0.500 0.000
3 S 0.420 0.920 0.000
4 S 0.920 0.580 0.000
5 S 0.580 0.080 0.000
6 S 0.080 0.420 0.000
7 Cl 0.257 0.757 0.500
8 Cl 0.757 0.743 0.500
9 Cl 0.743 0.243 0.500
10 Cl 0.243 0.257 0.500

The calculation puts the formation energy (no corrections) at -18 kJ/mol of atoms. For the size of the total moment, the calculation gives 1.0 μB/f.u. Its symmetry is P4/mbm (127).